The following is a PBE calculation of a geometry-optimized K2TlCrBr6 structure, from Alexandria via LeMat-Bulk.

Values from the calculation:
As for the space-group type: P2_1/c. For the total energy, the calculation gives -3.5947 eV per atom. The value obtained for the formation energy from raw total energies is -27.04 kcal/mol of atoms.

Geometry as POSCAR:
```
K2TlCrBr6
1.0
-2.925 -0.566 7.052
-7.040 -2.373 -3.110
3.381 -10.524 0.377
Br K Cr Tl
12 4 2 2
Direct
0.343 0.731 0.443 Br
0.891 0.527 0.215 Br
0.228 0.166 0.444 Br
0.109 0.473 0.785 Br
0.391 0.973 0.715 Br
0.272 0.666 0.056 Br
0.843 0.769 0.943 Br
0.728 0.334 0.944 Br
0.157 0.231 0.057 Br
0.609 0.027 0.285 Br
0.657 0.269 0.557 Br
0.772 0.834 0.556 Br
0.973 0.082 0.755 K
0.527 0.582 0.745 K
0.473 0.418 0.255 K
0.027 0.918 0.245 K
0.500 0.000 0.500 Cr
0.000 0.500 0.000 Cr
0.000 0.500 0.500 Tl
0.500 0.000 0.000 Tl
```